MgGa2PbI at its PBEsol-relaxed geometry. Source: Alexandria via LeMat-Bulk, functional meta-GGA SCAN.

Computed properties:
Uncorrected energy = -29.3487 eV per atom
Energy relative to the elements, uncorrected = 0.689 eV per atom
M_tot = 0.00 μB per formula unit
Symmetry = P4/mmm

Geometry as CIF:
```
data_MgGa2PbI
_symmetry_space_group_name_H-M 'P 1'
_symmetry_Int_Tables_number 1
_cell_length_a 5.698
_cell_length_b 5.698
_cell_length_c 5.331
_cell_angle_alpha 90.00
_cell_angle_beta 90.00
_cell_angle_gamma 90.00
loop_
_symmetry_equiv_pos_as_xyz
'x,y,z'
loop_
_atom_site_label
_atom_site_type_symbol
_atom_site_fract_x
_atom_site_fract_y
_atom_site_fract_z
_atom_site_occupancy
Mg1 Mg 0.000 0.000 0.000 1
Ga1 Ga 0.000 0.500 0.500 1
Ga2 Ga 0.500 0.000 0.500 1
Pb1 Pb 0.500 0.500 0.000 1
I1 I 0.000 0.000 0.500 1
```



Rb2GaMoI at its PBEsol-relaxed geometry. Source: Alexandria via LeMat-Bulk, functional meta-GGA SCAN.

Computed properties:
Uncorrected energy = -25.1103 eV per atom
Energy relative to the elements, uncorrected = 0.780 eV per atom
M_tot = 4.88 μB per formula unit
Symmetry = P4/mmm

Geometry as CIF:
```
data_Rb2GaMoI
_symmetry_space_group_name_H-M 'P 1'
_symmetry_Int_Tables_number 1
_cell_length_a 6.661
_cell_length_b 6.661
_cell_length_c 6.035
_cell_angle_alpha 90.00
_cell_angle_beta 90.00
_cell_angle_gamma 90.00
loop_
_symmetry_equiv_pos_as_xyz
'x,y,z'
loop_
_atom_site_label
_atom_site_type_symbol
_atom_site_fract_x
_atom_site_fract_y
_atom_site_fract_z
_atom_site_occupancy
Rb1 Rb 0.000 0.500 0.000 1
Rb2 Rb 0.500 0.000 0.000 1
Ga1 Ga 0.000 0.000 0.500 1
Mo1 Mo 0.500 0.500 0.500 1
I1 I 0.000 0.000 0.000 1
```



GaOsI2N at its PBEsol-relaxed geometry. Source: Alexandria via LeMat-Bulk, functional meta-GGA SCAN.

Computed properties:
Uncorrected energy = -33.8104 eV per atom
Energy relative to the elements, uncorrected = 0.390 eV per atom
M_tot = 0.00 μB per formula unit
Symmetry = P4/mmm

Geometry as CIF:
```
data_GaOsI2N
_symmetry_space_group_name_H-M 'P 1'
_symmetry_Int_Tables_number 1
_cell_length_a 5.562
_cell_length_b 5.562
_cell_length_c 3.730
_cell_angle_alpha 90.00
_cell_angle_beta 90.00
_cell_angle_gamma 90.00
loop_
_symmetry_equiv_pos_as_xyz
'x,y,z'
loop_
_atom_site_label
_atom_site_type_symbol
_atom_site_fract_x
_atom_site_fract_y
_atom_site_fract_z
_atom_site_occupancy
Ga1 Ga 0.000 0.000 0.000 1
Os1 Os 0.500 0.500 0.500 1
I1 I 0.000 0.500 0.500 1
I2 I 0.500 0.000 0.500 1
N1 N 0.500 0.500 0.000 1
```